Record 1
A plane-wave DFT calculation with GGA-PBEsol was carried out for a relaxed structure of Sc2GaNi2.

a = 4.8710 Å, b = 4.8710 Å, c = 7.0107 Å
α = 90.00°, β = 90.00°, γ = 90.00°
Space group I4/mmm (No. 139)
One atom of each set of equivalent atoms:
Sc (0.0000, 0.5000, 0.2500)
Ga (0.0000, 0.0000, 0.0000)
Ni (0.0000, 0.0000, 0.3438)

Summary:
Mass density = 5531 kg/m³
Calculated formation energy = -348 meV/atom
Magnetic moment = 0.0 Bohr magnetons per cell

Record 2
A plane-wave DFT calculation with GGA-PBEsol was carried out for a relaxed structure of ScGa2Ni.

a = 3.9927 Å, b = 9.4290 Å, c = 6.3866 Å
α = 90.00°, β = 90.00°, γ = 90.00°
Space group Cmcm (No. 63)
One atom of each set of equivalent atoms:
Sc (0.0000, 0.0754, 0.2500)
Ga (0.0000, 0.3628, 0.0499)
Ni (0.0000, 0.2063, 0.7500)

Summary:
Mass density = 6716 kg/m³
Calculated formation energy = -702 meV/atom
Magnetic moment = 0.0 Bohr magnetons per cell

> What is the mass density in the second record?

6716 kg/m³

What did the first record say?
A plane-wave DFT calculation with GGA-PBEsol was carried out for a relaxed structure of Sc2GaNi2.

a = 4.8710 Å, b = 4.8710 Å, c = 7.0107 Å
α = 90.00°, β = 90.00°, γ = 90.00°
Space group I4/mmm (No. 139)
One atom of each set of equivalent atoms:
Sc (0.0000, 0.5000, 0.2500)
Ga (0.0000, 0.0000, 0.0000)
Ni (0.0000, 0.0000, 0.3438)

Summary:
Mass density = 5531 kg/m³
Calculated formation energy = -348 meV/atom
Magnetic moment = 0.0 Bohr magnetons per cell

Copy entry 2 word for word.
A plane-wave DFT calculation with GGA-PBEsol was carried out for a relaxed structure of ScGa2Ni.

a = 3.9927 Å, b = 9.4290 Å, c = 6.3866 Å
α = 90.00°, β = 90.00°, γ = 90.00°
Space group Cmcm (No. 63)
One atom of each set of equivalent atoms:
Sc (0.0000, 0.0754, 0.2500)
Ga (0.0000, 0.3628, 0.0499)
Ni (0.0000, 0.2063, 0.7500)

Summary:
Mass density = 6716 kg/m³
Calculated formation energy = -702 meV/atom
Magnetic moment = 0.0 Bohr magnetons per cell